DFT (GGA-PBEsol) results for a geometry-optimized KPAuSe3 structure.

As for the crystal system: monoclinic. The calculated volume is 312.73 Å³ per cell. The formation energy from raw total energies is -0.4287 eV per atom. Its symmetry is C2/m (12). The value obtained for the uncorrected energy is -4.16 eV/atom. The magnetization is 0.00 μB per formula unit.

Cell: 6.953 6.953 8.055 Å, 69.03 69.03 62.10°
Positions (direct):
K  0.301  0.301  0.749
K  0.699  0.699  0.251
P  0.977  0.977  0.650
P  0.023  0.023  0.350
Au  0.728  0.272  0.000
Au  0.272  0.728  0.000
Se  0.778  0.778  0.802
Se  0.823  0.335  0.672
Se  0.335  0.823  0.672
Se  0.665  0.177  0.328
Se  0.177  0.665  0.328
Se  0.222  0.222  0.198